(1)
## AsRh2Au (PBE)

Data for an optimized crystal structure of AsRh2Au.

Properties
E_tot   -5.641 eV per atom
Formation energy   0.016 eV/atom

```
4
Lattice="5.598 0.024 -0.002 3.102 4.659 0.002 -3.905 -3.168 2.459" Properties=species:S:1:pos:R:3 pbc="T T T"
Rh 0.100 0.054 0.000
Rh 2.085 2.084 1.230
As 4.172 2.246 0.000
Au 2.787 -0.528 1.229
```

***

(2)
## AsRh2Au (PBE)

Data for an optimized crystal structure of AsRh2Au.

Properties
E_tot   -5.718 eV per atom
Formation energy   -0.060 eV/atom

```
4
Lattice="-0.597 3.177 -3.491 3.176 -1.431 -3.241 -3.739 -2.033 2.127" Properties=species:S:1:pos:R:3 pbc="T T T"
Rh 0.102 0.069 -0.266
Rh 1.188 0.804 -3.100
As 0.363 -1.296 -2.240
Au -1.523 1.008 -2.365
```

***

(3)
## AsRh2Au (PBE)

Data for an optimized crystal structure of AsRh2Au.

Properties
E_tot   -5.752 eV per atom
Formation energy   -0.094 eV/atom

```
4
Lattice="8.501 0.041 0.024 7.972 2.952 0.024 7.972 1.448 2.572" Properties=species:S:1:pos:R:3 pbc="T T T"
Rh 24.207 4.397 2.595
Rh 12.461 2.264 1.336
As 6.111 1.110 0.655
Au 18.334 3.330 1.965
```

***

(4)
## AsRh2Au (PBE)

Data for an optimized crystal structure of AsRh2Au.

Properties
E_tot   -5.548 eV per atom
Formation energy   0.109 eV/atom

```
4
Lattice="9.239 0.003 0.002 8.788 2.851 0.002 8.788 1.391 2.489" Properties=species:S:1:pos:R:3 pbc="T T T"
Rh 26.670 4.222 2.478
Rh 6.627 1.049 0.616
As 13.714 2.171 1.274
Au 20.031 3.171 1.861
```

***

(5)
## AsRhAu (PBE)

Data for an optimized crystal structure of AsRhAu.

Properties
E_tot   -5.119 eV per atom
Formation energy   -0.026 eV/atom

```
3
Lattice="2.994 0.000 0.000 -1.497 2.593 0.000 0.000 0.000 6.739" Properties=species:S:1:pos:R:3 pbc="T T T"
Rh 0.000 1.729 4.691
As 0.000 0.000 6.428
Au 1.497 0.864 2.360
```

***

(6)
## AsRhAu2 (PBE)

Data for an optimized crystal structure of AsRhAu2.

Properties
E_tot   -4.481 eV per atom
Formation energy   0.158 eV/atom

```
4
Lattice="-3.409 2.326 1.999 -3.635 1.314 -2.468 -4.068 -2.010 0.661" Properties=species:S:1:pos:R:3 pbc="T T T"
Rh -2.778 0.408 0.048
As -5.556 0.815 0.096
Au 0.000 0.000 0.000
Au -8.334 1.223 0.144
```

***

(7)
## AsRhAu (PBE)

Data for an optimized crystal structure of AsRhAu.

Properties
E_tot   -5.150 eV per atom
Formation energy   -0.057 eV/atom

```
3
Lattice="4.190 0.000 0.000 -2.095 3.629 0.000 0.000 0.000 3.351" Properties=species:S:1:pos:R:3 pbc="T T T"
Rh 2.095 1.210 2.774
As 0.000 0.000 2.819
Au 0.000 2.419 1.109
```

***

(8)
## AsRhAu2 (PBE)

Data for an optimized crystal structure of AsRhAu2.

Properties
E_tot   -4.449 eV per atom
Formation energy   0.190 eV/atom

```
4
Lattice="2.992 0.000 0.000 0.000 4.135 0.000 0.000 0.000 5.558" Properties=species:S:1:pos:R:3 pbc="T T T"
Rh 1.496 2.067 1.389
As 1.496 2.067 4.168
Au 0.000 0.000 0.021
Au 0.000 0.000 2.758
```

***

(9)
## AsRhAu2 (PBE)

Data for an optimized crystal structure of AsRhAu2.

Properties
E_tot   -4.407 eV per atom
Formation energy   0.232 eV/atom

```
4
Lattice="-1.557 -2.143 -1.041 2.109 -1.819 0.590 -3.351 -1.356 7.802" Properties=species:S:1:pos:R:3 pbc="T T T"
Rh -0.562 -2.320 1.725
As -2.237 -2.998 5.626
Au -0.050 -0.020 0.116
Au -1.626 -0.658 3.785
```

***

(10)
## AsRhAu2 (PBE)

Data for an optimized crystal structure of AsRhAu2.

Properties
E_tot   -4.686 eV per atom
Formation energy   -0.047 eV/atom

```
4
Lattice="-1.881 -1.651 -1.783 0.737 -2.536 1.572 -5.496 1.268 4.624" Properties=species:S:1:pos:R:3 pbc="T T T"
Rh -2.900 0.669 2.439
As -4.468 -1.195 3.172
Au -0.005 0.001 0.004
Au -2.016 -1.761 1.109
```

***

(11)
## AsRhAu2 (PBE)

Data for an optimized crystal structure of AsRhAu2.

Properties
E_tot   -4.643 eV per atom
Formation energy   -0.004 eV/atom

```
4
Lattice="-3.944 -7.610 4.847 -2.765 -9.079 2.624 -1.150 -8.428 4.960" Properties=species:S:1:pos:R:3 pbc="T T T"
Rh -3.887 -12.422 6.148
As -6.017 -19.231 9.518
Au -7.837 -25.047 12.396
Au -1.907 -6.094 3.016
```

***

(12)
## AsRhAu (PBE)

Data for an optimized crystal structure of AsRhAu.

Properties
E_tot   -5.176 eV per atom
Formation energy   -0.083 eV/atom

```
3
Lattice="-4.060 -3.582 -0.210 -2.718 -3.842 2.683 -2.562 1.397 1.312" Properties=species:S:1:pos:R:3 pbc="T T T"
Rh -5.266 -4.260 2.056
As -2.674 1.164 1.342
Au -3.963 -1.534 1.697
```

***

(13)
## AsRhAu2 (PBE)

Data for an optimized crystal structure of AsRhAu2.

Properties
E_tot   -4.599 eV per atom
Formation energy   0.040 eV/atom

```
4
Lattice="4.250 -0.094 -0.003 3.201 2.798 -0.003 0.919 0.334 5.871" Properties=species:S:1:pos:R:3 pbc="T T T"
Rh 4.185 1.519 2.633
As 2.029 0.736 1.765
Au 0.031 0.011 0.078
Au 6.312 2.291 4.321
```

***

(14)
## AsRh2Au (PBE)

Data for an optimized crystal structure of AsRh2Au.

Properties
E_tot   -5.809 eV per atom
Formation energy   -0.152 eV/atom

```
4
Lattice="3.803 -0.016 0.011 1.913 3.287 0.011 1.893 1.083 5.481" Properties=species:S:1:pos:R:3 pbc="T T T"
Rh 5.716 3.272 0.367
Rh 3.804 2.177 2.405
As 1.902 1.089 1.376
Au 5.706 3.266 4.127
```

***

(15)
## AsRhAu2 (PBE)

Data for an optimized crystal structure of AsRhAu2.

Properties
E_tot   -4.589 eV per atom
Formation energy   0.050 eV/atom

```
4
Lattice="4.070 0.000 0.000 0.000 3.238 0.006 0.000 1.596 5.267" Properties=species:S:1:pos:R:3 pbc="T T T"
Rh 0.000 3.026 2.689
As 2.035 3.015 3.928
Au 0.000 4.634 5.165
Au 2.035 1.411 1.399
```

***

(16)
## AsRhAu (PBE)

Data for an optimized crystal structure of AsRhAu.

Properties
E_tot   -5.218 eV per atom
Formation energy   -0.125 eV/atom

```
6
Lattice="3.386 -0.037 -0.121 -0.054 3.386 -0.121 -1.958 -1.968 9.240" Properties=species:S:1:pos:R:3 pbc="T T T"
Au 1.573 1.581 5.234
Au -0.199 -0.200 3.764
As 0.481 0.484 7.381
As 0.893 0.897 1.617
Rh -1.156 -1.161 8.314
Rh 2.530 2.542 0.684
```

***

(17)
## AsRhAu (PBE)

Data for an optimized crystal structure of AsRhAu.

Properties
E_tot   -5.007 eV per atom
Formation energy   0.085 eV/atom

```
3
Lattice="-1.085 -3.592 2.141 -1.847 -3.292 -2.101 2.207 -3.655 -0.655" Properties=species:S:1:pos:R:3 pbc="T T T"
Rh -0.543 -7.903 -0.462
As 0.000 0.000 0.000
Au -0.362 -5.269 -0.308
```

***

(18)
## AsRh2Au (PBE)

Data for an optimized crystal structure of AsRh2Au.

Properties
E_tot   -5.460 eV per atom
Formation energy   0.197 eV/atom

```
4
Lattice="4.486 0.000 0.000 2.243 3.885 0.000 2.243 1.295 3.663" Properties=species:S:1:pos:R:3 pbc="T T T"
Rh 0.000 0.000 0.000
Rh 6.729 3.885 2.747
As 4.486 2.590 1.832
Au 2.243 1.295 0.916
```

***

(19)
## AsRhAu2 (PBE)

Data for an optimized crystal structure of AsRhAu2.

Properties
E_tot   -4.490 eV per atom
Formation energy   0.149 eV/atom

```
4
Lattice="-0.502 2.999 0.138 -2.427 -0.230 -3.835 -4.119 -0.812 2.655" Properties=species:S:1:pos:R:3 pbc="T T T"
Rh -2.310 1.094 1.397
As -3.273 -0.521 -0.590
Au 0.000 0.000 0.000
Au -1.465 1.385 -1.849
```

***

(20)
## AsRh2Au2 (PBE)

Data for an optimized crystal structure of AsRh2Au2.

Properties
E_tot   -5.206 eV per atom
Formation energy   -0.025 eV/atom

```
10
Lattice="6.204 0.000 0.000 0.000 6.204 0.000 0.000 0.000 4.497" Properties=species:S:1:pos:R:3 pbc="T T T"
Rh 2.166 5.268 0.000
Rh 5.268 4.038 0.000
Rh 4.038 0.936 0.000
Rh 0.936 2.166 0.000
As 0.000 0.000 0.000
As 3.102 3.102 0.000
Au 0.991 4.093 2.249
Au 4.093 5.214 2.249
Au 5.214 2.112 2.249
Au 2.112 0.991 2.249
```